Here is a relaxed BaSrIr2 crystal from the Alexandria database. Energies are from PBE.

- symmetry = No. 216
- E above lowest polymorph (meV/atom) = 738
- total moment (μB per cell) = 1.41
- mass density (Mg/m³) = 10.65
- energy of formation from the pure elements (meV/atom) = 522

Unit cell a=5.1222 b=5.1222 c=5.1222 alpha=60.00 beta=60.00 gamma=60.00
Last column: nearest neighbours and their distance in Å.
Fractional coordinates of all 4 atoms:
Ba (0.0000, 0.0000, 0.0000)  4 Ir 3.14, 4 Sr 3.14
Sr (0.2500, 0.2500, 0.2500)  4 Ba 3.14, 4 Ir 3.14
Ir (0.5000, 0.5000, 0.5000)  4 Ir 3.14, 4 Sr 3.14
Ir (0.7500, 0.7500, 0.7500)  4 Ba 3.14, 4 Ir 3.14